# 1
NdTm4Pd5 | GGA-PBE | optimized geometry

Cell lengths 3.456, 3.456, 17.836 Å; angles 90.00, 90.00, 90.00 degrees
Positions (direct):
Nd  0.000  0.000  0.000
Tm  0.000  0.000  0.598
Tm  0.000  0.000  0.402
Tm  0.000  0.000  0.206
Tm  0.000  0.000  0.794
Pd  0.500  0.500  0.500
Pd  0.500  0.500  0.115
Pd  0.500  0.500  0.885
Pd  0.500  0.500  0.305
Pd  0.500  0.500  0.695

Total moment: 0.00 μB per cell
Formation energy: -896 meV/atom
ρ: 10.54 g/cm3

***

# 2
Nd2TmPd3 | GGA-PBE | optimized geometry

Cell lengths 5.868, 8.342, 7.168 Å; angles 106.98, 114.16, 90.00 degrees
Positions (direct):
Pd  0.510  0.250  0.000
Pd  0.846  0.922  0.687
Pd  0.490  0.750  0.000
Pd  0.159  0.578  0.313
Pd  0.154  0.078  0.313
Pd  0.841  0.422  0.687
Tm  0.010  0.250  0.000
Tm  0.990  0.750  0.000
Nd  0.671  0.584  0.338
Nd  0.333  0.916  0.662
Nd  0.667  0.084  0.338
Nd  0.329  0.416  0.662

Total moment: 0.00 μB per cell
Formation energy: -697 meV/atom
ρ: 8.50 g/cm3

***

# 3
NdTmPd2 | GGA-PBE | optimized geometry

Cell lengths 4.169, 4.169, 6.990 Å; angles 72.65, 72.65, 60.00 degrees
Positions (direct):
Nd  0.500  0.500  0.500
Pd  0.257  0.257  0.229
Pd  0.743  0.743  0.771
Tm  0.000  0.000  0.000

Total moment: 0.00 μB per cell
Distance to the lowest polymorph of the same formula: 148 meV per atom
Formation energy: -719 meV/atom
ρ: 8.84 g/cm3